No. 1
SCAN LiTiHg2Se, single point on PBEsol structure; space-group type = P4/mmm, No. 123; DOS at the Fermi energy = 0.346 states/eV/atom; formation energy (no corrections) = 21 meV/atom
1.0
-2.4581 1.2758 -3.6284
-0.2940 -4.5371 -1.3961
-3.9968 -0.5182 2.5255
Ti Se Li Hg
1 1 1 2
Cartesian
-3.3744 -1.8897 -1.2495 Ti
-1.2291 0.6379 -1.8142 Se
0.0000 0.0000 0.0000 Li
-0.1470 -2.2685 -0.6981 Hg
-1.9984 -0.2591 1.2628 Hg

=====

No. 2
SCAN Li2YHgSe, single point on PBEsol structure; space-group type = P4/mmm, No. 123; DOS at the Fermi energy = 0.494 states/eV/atom; formation energy (no corrections) = -242 meV/atom
1.0
-1.4187 2.9069 3.0957
-3.5441 -2.6085 0.8252
3.2130 -3.0066 4.2957
Hg Li Y Se
1 2 1 1
Cartesian
0.0000 0.0000 0.0000 Hg
-1.7721 -1.3043 0.4126 Li
-0.7094 1.4534 1.5478 Li
-0.8749 -1.3541 4.1083 Y
1.6065 -1.5033 2.1479 Se

=====

Q: Which value of DOS at the Fermi energy does entry 2 give?
A: 0.494 states/eV/atom